First-principles (PBE-GGA) data for KAlAs2 after structural relaxation, as listed in Alexandria via LeMat-Bulk.

DFT total energy: -3.62 eV/atom
M_tot: 0.00 μB per formula unit
ΔH_f (0 K): -0.090 eV per atom
Fermi-level density of states: 1.27 states/eV/f.u.

Cell lengths 7.2494, 7.2494, 7.2494 Å; angles 148.79, 145.84, 46.94 degrees
Closest atoms and distances in Å follow each position.
Atoms (fractional coordinates):
1 K 0.0000 0.0000 0.0000  4 As 3.42, 2 Al 3.63
2 Al 0.2299 0.7299 0.5000  6 As 2.62-2.89
3 As 0.3618 0.3618 0.0000  2 Al 2.62, 2 As 2.65
4 As 0.7435 0.2435 0.5000  2 As 2.65, 4 Al 2.89